Record 1
Ba7Li2Hg2 | PBE | relaxed

abc: 8.2506 8.2506 8.6791
angles: 90.00 90.00 108.48
Fractional coordinates of all 11 atoms:
Ba 0.0000 0.0000 0.0000
Ba 0.0000 0.5000 0.2641
Ba 0.0000 0.5000 0.7359
Ba 0.5000 0.0000 0.2641
Ba 0.5000 0.0000 0.7359
Ba 0.5000 0.5000 0.2460
Ba 0.5000 0.5000 0.7540
Li 0.1576 0.1576 0.5000
Li 0.8424 0.8424 0.5000
Hg 0.2873 0.7127 0.0000
Hg 0.7127 0.2873 0.0000

Values from the calculation:
Space-group type = Cmmm
Volume = 560 Å³/f.u.
Total magnetization = 0.00 μB/f.u.
Formation energy from the elements = -0.0836 eV/atom
Mass density = 4079 kg/m³



Record 2
Ba3Li2Hg7 | PBE | relaxed

abc: 10.0369 10.0369 10.0369
angles: 37.58 37.58 37.58
Fractional coordinates of all 12 atoms:
Ba 0.0000 0.0000 0.0000
Ba 0.1444 0.1444 0.1444
Ba 0.8556 0.8556 0.8556
Li 0.3316 0.3316 0.3316
Li 0.6684 0.6684 0.6684
Hg 0.0758 0.5747 0.5747
Hg 0.4253 0.4253 0.9242
Hg 0.4253 0.9242 0.4253
Hg 0.5000 0.5000 0.5000
Hg 0.5747 0.0758 0.5747
Hg 0.5747 0.5747 0.0758
Hg 0.9242 0.4253 0.4253

Values from the calculation:
Space-group type = R-3m
Volume = 337 Å³/f.u.
Total magnetization = 0.00 μB/f.u.
Formation energy from the elements = -0.3819 eV/atom
Mass density = 9008 kg/m³



What did the first record say?
Ba7Li2Hg2 | PBE | relaxed

abc: 8.2506 8.2506 8.6791
angles: 90.00 90.00 108.48
Fractional coordinates of all 11 atoms:
Ba 0.0000 0.0000 0.0000
Ba 0.0000 0.5000 0.2641
Ba 0.0000 0.5000 0.7359
Ba 0.5000 0.0000 0.2641
Ba 0.5000 0.0000 0.7359
Ba 0.5000 0.5000 0.2460
Ba 0.5000 0.5000 0.7540
Li 0.1576 0.1576 0.5000
Li 0.8424 0.8424 0.5000
Hg 0.2873 0.7127 0.0000
Hg 0.7127 0.2873 0.0000

Values from the calculation:
Space-group type = Cmmm
Volume = 560 Å³/f.u.
Total magnetization = 0.00 μB/f.u.
Formation energy from the elements = -0.0836 eV/atom
Mass density = 4079 kg/m³